NaCd2Sb: relaxed, PBE.

Cell: 4.589 4.589 4.649 Å, 90.00 90.00 90.00°
Positions (direct):
Na (0.000, 0.000, 0.000)
Cd (0.000, 0.500, 0.500)
Cd (0.500, 0.000, 0.500)
Sb (0.500, 0.500, 0.000)

Space group: No. 123
DOS at the Fermi energy: 1.0 states/eV/cell
E_form (uncorrected): -0.12 eV per atom

Ba3PPd: relaxed, PBE.

Cell: 6.137 6.137 6.137 Å, 90.00 90.00 90.00°
Positions (direct):
Ba (0.000, 0.000, 0.500)
Ba (0.000, 0.500, 0.000)
Ba (0.500, 0.000, 0.000)
P (0.000, 0.000, 0.000)
Pd (0.500, 0.500, 0.500)

Space group: No. 221
Energy relative to the lowest polymorph listed for this composition: 32.9 kJ/mol of atoms
DOS at the Fermi energy: 4.1 states/eV/cell
Formation energy from the elements: -344.7 meV/atom

Ba4Na3Li: relaxed, PBE.

Cell: 4.696 5.891 14.597 Å, 90.00 90.00 90.00°
Positions (direct):
Ba (0.000, 0.000, 0.000)
Ba (0.000, 0.500, 0.294)
Ba (0.500, 0.000, 0.480)
Ba (0.500, 0.500, 0.807)
Na (0.000, 0.000, 0.714)
Na (0.000, 0.500, 0.575)
Na (0.500, 0.500, 0.081)
Li (0.500, 0.000, 0.214)

Space group: No. 25
Energy relative to the lowest polymorph listed for this composition: 1.1 kJ/mol of atoms
DOS at the Fermi energy: 9.3 states/eV/cell
Formation energy from the elements: 36.8 meV/atom

GaBi2Te4: relaxed, PBE.

Cell: 7.356 7.356 7.356 Å, 117.23 117.23 94.87°
Positions (direct):
Ga (0.000, 0.000, 0.000)
Bi (0.250, 0.750, 0.500)
Bi (0.750, 0.250, 0.500)
Te (0.120, 0.668, 0.000)
Te (0.332, 0.332, 0.452)
Te (0.668, 0.120, 0.000)
Te (0.880, 0.880, 0.548)

Space group: No. 121
DOS at the Fermi energy: 2.6 states/eV/cell
E_form (uncorrected): -0.10 eV per atom

GaPBrO2: relaxed, PBE.

Cell: 3.743 3.743 5.978 Å, 90.00 90.00 90.00°
Positions (direct):
Ga (0.000, 0.000, 0.000)
P (0.000, 0.000, 0.500)
Br (0.500, 0.500, 0.500)
O (0.000, 0.500, 0.000)
O (0.500, 0.000, 0.000)

Space group: No. 123
Energy relative to the lowest polymorph listed for this composition: 0.0 kJ/mol of atoms
DOS at the Fermi energy: 3.0 states/eV/cell
E_form (uncorrected): -0.10 eV per atom

LaHfSe2N: relaxed, PBE.

Cell: 5.681 5.681 4.055 Å, 90.00 90.00 90.00°
Positions (direct):
La (0.000, 0.000, 0.000)
Hf (0.500, 0.500, 0.500)
Se (0.000, 0.500, 0.000)
Se (0.500, 0.000, 0.000)
N (0.000, 0.000, 0.500)

Space group: No. 123
Energy relative to the lowest polymorph listed for this composition: 138.1 kJ/mol of atoms
DOS at the Fermi energy: 2.7 states/eV/cell
E_form (uncorrected): 0.21 eV per atom

Zr2Zn2W: relaxed, PBE.

Cell: 6.918 6.918 3.797 Å, 90.00 90.00 90.00°
Positions (direct):
Zr (0.184, 0.316, 0.000)
Zr (0.316, 0.816, 0.000)
Zr (0.684, 0.184, 0.000)
Zr (0.816, 0.684, 0.000)
Zn (0.123, 0.623, 0.500)
Zn (0.377, 0.123, 0.500)
Zn (0.623, 0.877, 0.500)
Zn (0.877, 0.377, 0.500)
W (0.000, 0.000, 0.500)
W (0.500, 0.500, 0.500)

Space group: No. 127
Energy relative to the lowest polymorph listed for this composition: 0.0 kJ/mol of atoms
DOS at the Fermi energy: 11.5 states/eV/cell
Formation energy from the elements: 50.8 meV/atom

ZrTcMo2: relaxed, PBE.

Cell: 4.553 4.553 4.553 Å, 60.00 60.00 60.00°
Positions (direct):
Zr (0.000, 0.000, 0.000)
Tc (0.250, 0.250, 0.250)
Mo (0.500, 0.500, 0.500)
Mo (0.750, 0.750, 0.750)

Space group: No. 216
Energy relative to the lowest polymorph listed for this composition: 0.0 kJ/mol of atoms
DOS at the Fermi energy: 2.3 states/eV/cell
Formation energy from the elements: -120.9 meV/atom